VASP calculation (PBE-GGA) on Ba2CuIr after structural relaxation.

Electronic total energy: -15.410 eV per formula unit
Formation enthalpy at 0 K: 0.348 eV/atom
Fermi-level density of states: 1.36 states/eV per cell
Polymorph energy (0 for the lowest one): 0.494 eV per atom
Total magnetization: 0.0 μB per formula unit

Cell lengths 5.2670, 5.2670, 5.2670 Å; angles 60.00, 60.00, 60.00 degrees
Closest atoms and distances in Å follow each position.
Fractional coordinates of all 4 atoms:
Ba (0.0000, 0.0000, 0.0000)  4 Ba 3.23, 4 Ir 3.23
Ba (0.2500, 0.2500, 0.2500)  4 Cu 3.23, 4 Ba 3.23
Cu (0.5000, 0.5000, 0.5000)  4 Ba 3.23, 4 Ir 3.23
Ir (0.7500, 0.7500, 0.7500)  4 Ba 3.23, 4 Cu 3.23